The following is a DFT calculation (meta-GGA SCAN) of a PBEsol-optimized structure of TaAgHg3.

Output
energy of formation from the pure elements	973	meV/atom
total energy	-59.52	eV/atom
D(E_F)	4.3	states/eV/f.u.

Lattice parameters (Å, degrees): 5.263 5.263 5.263 90.00 90.00 90.00
Space group Pm-3m (No. 221)
One atom of each set of equivalent atoms:
Ta 0.000 0.000 0.000 [1 per cell]
Ag 0.500 0.500 0.500 [1 per cell]
Hg 0.000 0.000 0.500 [3 per cell]